1.
Material: Li2CaYBi
Method: DFT, PBE
State: optimized geometry

Unit cell a=5.3250 b=5.3250 c=6.1652 alpha=90.00 beta=90.00 gamma=90.00
Closest atoms and distances in Å follow each position.
Space group P4/mmm (No. 123)
Symmetry-distinct sites (fractional):
Li  0.0000  0.5000  0.0000 x2  2 Y 2.66
Ca  0.0000  0.0000  0.5000 x1  2 Y 3.08
Y  0.0000  0.0000  0.0000 x1  4 Li 2.66
Bi  0.5000  0.5000  0.5000 x1  4 Ca 3.77, 8 Li 4.07

Properties
**Calculated formation energy**: 0.817 eV/atom

=====

2.
Material: TbNp2S4
Method: DFT, PBE
State: optimized geometry

Unit cell a=7.0442 b=11.1063 c=4.0909 alpha=90.00 beta=90.00 gamma=90.00
Closest atoms and distances in Å follow each position.
Space group Pbam (No. 55)
Symmetry-distinct sites (fractional):
Tb  0.0000  0.0000  0.0000 x2  6 S 2.67-2.77
Np  0.1038  0.3118  0.5000 x4  7 S 2.79-3.10
S  0.1295  0.7740  0.0000 x4  1 Tb 2.67, 4 Np 2.79-2.81
S  0.2466  0.5492  0.5000 x4  2 Tb 2.77, 3 Np 2.82-3.10

Properties
**Energy relative to the elements, uncorrected**: -11.1 eV/f.u.

=====

3.
Material: Sc3Ag2Ru
Method: DFT, PBE
State: optimized geometry

Unit cell a=3.2988 b=3.2988 c=10.4475 alpha=90.00 beta=90.00 gamma=90.00
Closest atoms and distances in Å follow each position.
Space group P4/mmm (No. 123)
Symmetry-distinct sites (fractional):
Sc  0.0000  0.0000  0.0000 x1  8 Ag 2.96, 4 Sc 3.30
Sc  0.0000  0.0000  0.3532 x2  4 Ru 2.79, 4 Ag 2.99, 1 Sc 3.07
Ag  0.5000  0.5000  0.1743 x2  8 Sc 2.96-2.99, 4 Ag 3.30
Ru  0.5000  0.5000  0.5000 x1  8 Sc 2.79

Properties
**Calculated formation energy**: -0.423 eV/atom

=====

4.
Material: Ti4Cu4Rh3
Method: DFT, PBE
State: optimized geometry

Unit cell a=2.9548 b=3.4681 c=15.3404 alpha=96.47 beta=95.53 gamma=90.00
Closest atoms and distances in Å follow each position.
Space group P-1 (No. 2)
Symmetry-distinct sites (fractional):
Ti  0.0488  0.0500  0.0987 x2  4 Cu 2.62, 5 Rh 2.72-2.73
Ti  0.3189  0.3180  0.6364 x2  4 Rh 2.62, 6 Cu 2.67-2.72
Cu  0.2298  0.2302  0.4607 x2  4 Cu 2.57, 5 Ti 2.67-2.71, 1 Rh 2.77
Cu  0.4090  0.4076  0.8156 x2  5 Ti 2.62-2.72, 5 Rh 2.69-2.80
Rh  0.1384  0.1395  0.2783 x2  5 Ti 2.62-2.72, 5 Cu 2.69-2.77
Rh  0.5000  0.5000  0.0000 x1  8 Ti 2.72-2.73, 2 Cu 2.80, 2 Rh 2.95

Properties
**Calculated formation energy**: -0.431 eV/atom

=====

5.
Material: Ga2AgI5
Method: DFT, PBE
State: optimized geometry

Unit cell a=4.3097 b=19.9873 c=17.2837 alpha=90.00 beta=90.00 gamma=90.00
Closest atoms and distances in Å follow each position.
Space group Cmcm (No. 63)
Symmetry-distinct sites (fractional):
Ga  0.0000  0.0598  0.1780 x8  1 Ga 2.49, 3 I 2.57-2.75
Ag  0.0000  0.1424  0.7500 x4  4 I 2.78-2.92
I  0.0000  0.0562  0.6133 x8  1 Ga 2.57
I  0.0000  0.2699  0.2500 x4  2 Ag 2.78
I  0.0000  0.3713  0.6197 x8  2 Ga 2.75

Properties
**Energy relative to the elements, uncorrected**: -2.8 eV/f.u.

=====

6.
Material: LiZr2FeIr
Method: DFT, PBE
State: optimized geometry

Unit cell a=4.6503 b=4.6503 c=3.9418 alpha=90.00 beta=90.00 gamma=90.00
Closest atoms and distances in Å follow each position.
Space group P4/mmm (No. 123)
Symmetry-distinct sites (fractional):
Li  0.0000  0.0000  0.0000 x1  2 Ir 1.97
Zr  0.0000  0.5000  0.0000 x2  2 Li 2.33
Fe  0.5000  0.5000  0.5000 x1  8 Zr 3.05, 4 Ir 3.29
Ir  0.0000  0.0000  0.5000 x1  2 Li 1.97

Properties
**Calculated formation energy**: 0.746 eV/atom

=====

The records above yield DOS at the Fermi energy values of 4.7; 17.4; 4.3; 8.3; 1.2; 5.7 states/eV/f.u., respectively.